## BaNbSbS2 (PBE)

Data for a relaxed BaNbSbS2 crystal.

Values from the calculation:
Formation energy (no corrections), meV per atom: 179
Crystal system: tetragonal
SG: P4/mmm (123)

a = 5.409 Å, b = 5.409 Å, c = 5.313 Å
α = 90.00°, β = 90.00°, γ = 90.00°
Fractional coordinates of all 5 atoms:
Ba1 0.000 0.000 0.000
Nb1 0.500 0.500 0.000
Sb1 0.500 0.500 0.500
S1 0.000 0.500 0.500
S2 0.500 0.000 0.500



## TaFe2Ir (PBE)

Data for a relaxed TaFe2Ir crystal.

Values from the calculation:
Crystal system: trigonal
Calculated formation energy, eV per atom: 0.170
SG: R-3m (166)

a = 8.947 Å, b = 8.947 Å, c = 8.947 Å
α = 17.69°, β = 17.69°, γ = 17.69°
Fractional coordinates of all 4 atoms:
Ta1 0.000 0.000 0.000
Fe1 0.246 0.246 0.246
Fe2 0.754 0.754 0.754
Ir1 0.500 0.500 0.500



## Al2CuCl (PBE)

Data for a relaxed Al2CuCl crystal.

Values from the calculation:
Formation energy (no corrections), meV per atom: -112
Crystal system: trigonal
SG: R3m (160)

a = 10.039 Å, b = 10.039 Å, c = 10.039 Å
α = 17.63°, β = 17.63°, γ = 17.63°
Fractional coordinates of all 4 atoms:
Al1 0.000 0.000 0.000
Al2 0.262 0.262 0.262
Cu1 0.536 0.536 0.536
Cl1 0.724 0.724 0.724



## CsRhI2N (PBE)

Data for a relaxed CsRhI2N crystal.

Values from the calculation:
Formation energy (no corrections), meV per atom: -118
Crystal system: tetragonal
SG: P4/mmm (123)

a = 6.187 Å, b = 6.187 Å, c = 3.778 Å
α = 90.00°, β = 90.00°, γ = 90.00°
Fractional coordinates of all 5 atoms:
Cs1 0.000 0.000 0.000
Rh1 0.500 0.500 0.500
I1 0.000 0.500 0.500
I2 0.500 0.000 0.500
N1 0.500 0.500 0.000



## Re2SbPb (PBE)

Data for a relaxed Re2SbPb crystal.

Values from the calculation:
Formation energy (no corrections), meV per atom: 912
Crystal system: tetragonal
SG: P4/mmm (123)

a = 3.306 Å, b = 3.306 Å, c = 6.751 Å
α = 90.00°, β = 90.00°, γ = 90.00°
Fractional coordinates of all 4 atoms:
Re1 0.000 0.000 0.229
Re2 0.000 0.000 0.771
Sb1 0.500 0.500 0.000
Pb1 0.500 0.500 0.500



## Tl2SnPb (PBE)

Data for a relaxed Tl2SnPb crystal.

Values from the calculation:
Crystal system: trigonal
Calculated formation energy, eV per atom: 0.057
SG: R-3m (166)

a = 12.171 Å, b = 12.171 Å, c = 12.171 Å
α = 16.28°, β = 16.28°, γ = 16.28°
Fractional coordinates of all 4 atoms:
Tl1 0.090 0.090 0.090
Tl2 0.910 0.910 0.910
Sn1 0.500 0.500 0.500
Pb1 0.000 0.000 0.000



How do the records compare in calculated volume? In the order shown, they have 31.088 14.424 20.253 28.922 18.445 30.873 Å³/atom.